A geometry-optimized YBeAg3 structure. Source: the Alexandria database, functional GGA-PBE.

Cell lengths 4.576, 4.576, 4.576 Å; angles 90.00, 90.00, 90.00 degrees
Positions (direct):
Y1 0.000 0.000 0.000
Be1 0.500 0.500 0.500
Ag1 0.000 0.500 0.500
Ag2 0.500 0.000 0.500
Ag3 0.500 0.500 0.000

Summary:
Polymorph energy (0 for the lowest one)   0 meV per atom
E_form   -0.0182 eV/atom
SG   No. 221